# 1
This record from OQMD via LeMat-Bulk describes an optimized crystal structure of YCdTe. The functional is PBE-GGA.

Computed properties:
**Calculated total energy**: -11.4 eV per formula unit
**Size of the total moment**: 0.01 μB per formula unit
**Calculated density**: 5.63 g/cm3

a = 7.295 Å, b = 7.295 Å, c = 7.295 Å
α = 90.00°, β = 90.00°, γ = 90.00°
Space group F-43m (No. 216)
Unique sites:
Y1 0.000 0.000 0.000 [4 per cell]
Cd1 0.000 0.000 0.500 [4 per cell]
Te1 0.250 0.250 0.750 [4 per cell]

# 2
This record from OQMD via LeMat-Bulk describes an optimized crystal structure of YZrBeCo. The functional is PBE-GGA.

Computed properties:
**Calculated total energy**: -25.1 eV per formula unit
**Size of the total moment**: 0.00 μB per formula unit
**Calculated density**: 6.28 g/cm3

a = 6.402 Å, b = 6.402 Å, c = 6.402 Å
α = 90.00°, β = 90.00°, γ = 90.00°
Space group F-43m (No. 216)
Unique sites:
Y1 0.000 0.000 0.000 [4 per cell]
Zr1 0.250 0.250 0.250 [4 per cell]
Be1 0.250 0.250 0.750 [4 per cell]
Co1 0.000 0.000 0.500 [4 per cell]

Question: The highest calculated total energy belongs to which entry?
Answer: YCdTe

Repeat the first record exactly.
This record from OQMD via LeMat-Bulk describes an optimized crystal structure of YCdTe. The functional is PBE-GGA.

Computed properties:
**Calculated total energy**: -11.4 eV per formula unit
**Size of the total moment**: 0.01 μB per formula unit
**Calculated density**: 5.63 g/cm3

a = 7.295 Å, b = 7.295 Å, c = 7.295 Å
α = 90.00°, β = 90.00°, γ = 90.00°
Space group F-43m (No. 216)
Unique sites:
Y1 0.000 0.000 0.000 [4 per cell]
Cd1 0.000 0.000 0.500 [4 per cell]
Te1 0.250 0.250 0.750 [4 per cell]

Question: Number 2 is which compound?
Answer: YZrBeCo